Crystalline Sc6Tc2Au at its relaxed geometry, computed with PBE-GGA.

```
data_Sc6Tc2Au
_chemical_formula_sum 'Sc24 Tc8 Au4'
_cell_length_a 8.825
_cell_length_b 8.932
_cell_length_c 9.587
_cell_angle_alpha 90.00
_cell_angle_beta 90.00
_cell_angle_gamma 90.00
_space_group_name_H-M_alt 'I m m m'
_space_group_IT_number 71
_space_group_name_Hall '-I 2 2'
loop_
_atom_site_label
_atom_site_type_symbol
_atom_site_fract_x
_atom_site_fract_y
_atom_site_fract_z
Sc1 Sc 0.000 0.199 0.248
Sc2 Sc 0.194 0.500 0.335
Sc3 Sc 0.228 0.316 0.000
Tc1 Tc 0.000 0.329 0.500
Tc2 Tc 0.000 0.500 0.123
Au1 Au 0.000 0.000 0.000
Au2 Au 0.000 0.000 0.500
```

DOS at the Fermi energy, states/eV/atom: 1.128
Energy relative to the elements, kJ/mol of atoms: -28.4
Final energy, eV/atom: -7.1830